1.
{"formula": "CaBeP2", "functional": "PBE", "state": "optimized geometry", "ef_ev_per_fu": 0.08, "crystal_system": "tetragonal", "lattice_angstrom": [[3.402, 0.000, 0.000], [0.000, 3.402, 0.000], [0.000, 0.000, 5.884]], "species": ["P", "P", "Ca", "Be"], "frac_coords": [[0.000, 0.000, 0.065], [0.500, 0.500, 0.265], [0.500, 0.500, 0.759], [0.000, 0.000, 0.411]]}

---

2.
{"formula": "TmNbSn2", "functional": "PBE", "state": "optimized geometry", "ef_ev_per_fu": -0.84, "relative_energy_kj_per_mol_fu": 0.0, "crystal_system": "tetragonal", "lattice_angstrom": [[-0.778, -3.601, -0.669], [-0.443, -0.586, 3.671], [-6.346, 1.469, -0.531]], "species": ["Nb", "Tm", "Sn", "Sn"], "frac_coords": [[0.500, 0.500, 0.000], [0.500, 0.500, 0.500], [0.000, 0.000, 0.776], [0.000, 0.000, 0.224]]}

---

3.
{"formula": "CsKI", "functional": "PBE", "state": "optimized geometry", "relative_energy_kj_per_mol_fu": 13.5, "crystal_system": "trigonal", "e_form_raw_ev_per_atom": -0.94, "lattice_angstrom": [[5.172, 0.000, 0.000], [-2.586, 4.479, 0.000], [0.000, 0.000, 8.937]], "species": ["Cs", "I", "K"], "frac_coords": [[0.000, 0.000, 0.071], [0.667, 0.333, 0.351], [0.333, 0.667, 0.579]]}

---

4.
{"formula": "ZrBiAsAu2", "functional": "PBE", "state": "optimized geometry", "ef_ev_per_fu": 2.60, "crystal_system": "tetragonal", "lattice_angstrom": [[4.808, 0.000, 0.000], [0.000, 5.715, 0.000], [0.000, 0.000, 4.808]], "species": ["As", "Au", "Au", "Bi", "Zr"], "frac_coords": [[0.000, 0.000, 0.000], [0.000, 0.000, 0.500], [0.500, 0.000, 0.000], [0.000, 0.500, 0.000], [0.500, 0.500, 0.500]]}

---

5.
{"formula": "Hg4AsSBr2", "functional": "PBE", "state": "optimized geometry", "crystal_system": "monoclinic", "e_form_raw_ev_per_atom": -0.06, "lattice_angstrom": [[8.628, -0.460, -0.020], [-0.466, 8.628, -0.020], [-3.990, -3.992, 5.763]], "species": ["Hg", "Hg", "Hg", "Hg", "Hg", "Hg", "Hg", "Hg", "As", "As", "S", "S", "Br", "Br", "Br", "Br"], "frac_coords": [[0.214, 0.750, 0.983], [0.750, 0.286, 0.517], [0.250, 0.714, 0.483], [0.786, 0.250, 0.017], [0.783, 0.718, 0.976], [0.782, 0.717, 0.524], [0.218, 0.283, 0.476], [0.217, 0.282, 0.024], [0.000, 0.500, 0.000], [0.000, 0.500, 0.500], [0.500, 0.500, 0.500], [0.000, 0.000, 0.000], [0.500, 0.000, 0.000], [0.500, 0.000, 0.500], [0.000, 0.000, 0.500], [0.500, 0.500, 0.000]]}

---

6.
{"formula": "SrAl3Tc", "functional": "PBE", "state": "optimized geometry", "ef_ev_per_fu": -0.79, "relative_energy_kj_per_mol_fu": 78.9, "crystal_system": "monoclinic", "lattice_angstrom": [[-2.431, -6.906, 9.468], [2.998, -7.004, 2.130], [6.318, 4.495, -1.568]], "species": ["Sr", "Sr", "Sr", "Sr", "Tc", "Tc", "Tc", "Tc", "Al", "Al", "Al", "Al", "Al", "Al", "Al", "Al", "Al", "Al", "Al", "Al"], "frac_coords": [[0.750, 0.006, 0.506], [0.250, 0.994, 0.494], [0.750, 0.633, 0.133], [0.250, 0.367, 0.867], [0.283, 0.298, 0.379], [0.217, 0.879, 0.798], [0.717, 0.702, 0.621], [0.783, 0.121, 0.202], [0.354, 0.507, 0.350], [0.146, 0.850, 0.007], [0.646, 0.493, 0.650], [0.854, 0.150, 0.993], [0.029, 0.301, 0.972], [0.471, 0.472, 0.801], [0.971, 0.699, 0.028], [0.529, 0.528, 0.199], [0.596, 0.044, 0.796], [0.904, 0.296, 0.544], [0.404, 0.956, 0.204], [0.096, 0.704, 0.456]]}

---

| no. | M_tot (Bohr magnetons per cell) | raw total energy (eV/atom) |
| --- | --- | --- |
| 1 | 0.0 | -4.12 |
| 2 | 0.0 | -5.85 |
| 3 | 0.0 | -2.11 |
| 4 | 0.8 | -4.21 |
| 5 | 0.0 | -1.73 |
| 6 | 0.0 | -4.81 |